Record 1
Material: YRhBr2
Method: DFT, PBE
State: optimized geometry

The structure belongs to space group R-3m (No. 166, hexagonal axes); the cell edges are 3.6019, 3.6019 and 26.7864 Å and the angles 90.00°, 90.00° and 120.00°. The asymmetric unit holds Y at (0.0000, 0.0000, 0.0000), Rh at (0.0000, 0.0000, 0.5000) and Br at (0.0000, 0.0000, 0.4078).

For the size of the total moment, the calculation gives 2.21 μB/cell. The energy above the most stable polymorph in this dataset is 610 meV/atom. Its crystal system is trigonal. The formation energy without anion corrections is -415 meV per atom.



Record 2
Material: Pm3NdY6Sc2
Method: DFT, PBE
State: optimized geometry

The structure belongs to space group C2/m (No. 12); the cell edges are 6.152, 10.653 and 11.755 Å and the angles 90.00°, 100.01° and 90.00°. The asymmetric unit holds Pm at (0.000, 0.000, 0.000), Pm at (0.000, 0.333, 0.000), Nd at (0.000, 0.500, 0.500), Y at (0.245, 0.000, 0.744), Y at (0.250, 0.168, 0.256) and Sc at (0.000, 0.167, 0.500).

The formation energy is 0.486 eV/f.u. For the size of the total moment, the calculation gives 0.00 μB/cell. Its crystal system is monoclinic.



Record 3
Material: DyMg2Mn3S8
Method: DFT, PBE
State: optimized geometry

The structure belongs to space group R-3m (No. 166, hexagonal axes); the cell edges are 7.3929, 7.3929 and 18.4398 Å and the angles 90.00°, 90.00° and 120.00°. The asymmetric unit holds Dy at (0.0000, 0.0000, 0.0000), Mg at (0.0000, 0.0000, 0.3763), Mn at (0.0000, 0.5000, 0.5000), S at (0.0000, 0.0000, 0.2417) and S at (0.0177, 0.5088, 0.7635).

For the size of the total moment, the calculation gives 36.02 μB/cell. Its crystal system is trigonal. The formation energy without anion corrections is -997 meV per atom.



Record 4
Material: LaCdPdPt
Method: DFT, PBE
State: optimized geometry

The structure belongs to space group Cm (No. 8); the cell edges are 8.161, 4.698 and 5.403 Å and the angles 90.00°, 120.22° and 90.00°. The asymmetric unit holds La at (0.000, 0.000, 0.000), Cd at (0.002, 0.500, 0.504), Pd at (0.287, 0.500, 0.363) and Pt at (0.218, 0.000, 0.652).

The formation energy is -3.051 eV/f.u. For the size of the total moment, the calculation gives 0.00 μB/cell. Its crystal system is monoclinic.



> What is the size of the total moment in the first record?

2.21 μB/cell



> Which value of size of the total moment does entry 4 give?

0.00 μB/cell